Entry 1:
Material: DyBiPt4
Method: DFT, PBE
State: optimized geometry

Computed properties:
As for the space group: F-43m, No. 216. Its calculated formation energy is -0.67 eV/atom. Its density of states at the Fermi level is 1.2 states/eV per cell.

extended XYZ file:
```
6
Lattice="0.000 3.861 3.861 3.861 0.000 3.861 3.861 3.861 0.000" Properties=species:S:1:pos:R:3 pbc="T T T"
Dy 0.000 0.000 0.000
Bi 5.792 5.792 5.792
Pt 2.893 2.893 2.893
Pt 4.829 4.829 2.893
Pt 4.829 2.893 4.829
Pt 2.893 4.829 4.829
```

---

Entry 2:
Material: Dy2BiPt
Method: DFT, PBE
State: optimized geometry

Computed properties:
As for the space group: R-3m, No. 166. Its calculated formation energy is -0.90 eV/atom. Its density of states at the Fermi level is 6.9 states/eV per cell.

extended XYZ file:
```
12
Lattice="4.307 0.000 0.000 -2.153 3.730 0.000 0.000 0.000 20.801" Properties=species:S:1:pos:R:3 pbc="T T T"
Dy 0.000 0.000 4.954
Dy 0.000 0.000 15.847
Dy 0.000 2.487 8.913
Dy 0.000 2.487 18.822
Dy 2.153 1.243 1.979
Dy 2.153 1.243 11.888
Bi 0.000 0.000 0.000
Bi 0.000 2.487 13.868
Bi 2.153 1.243 6.934
Pt 0.000 0.000 10.401
Pt 0.000 2.487 3.467
Pt 2.153 1.243 17.335
```

---

Entry 3:
Material: Dy4PuBi5
Method: DFT, PBE
State: optimized geometry

Computed properties:
As for the space group: I4/mmm, No. 139. Its calculated formation energy is -0.75 eV/atom. Its density of states at the Fermi level is 17.1 states/eV per cell.

extended XYZ file:
```
10
Lattice="-2.247 2.247 15.853 2.247 -2.247 15.853 2.247 2.247 -15.853" Properties=species:S:1:pos:R:3 pbc="T T T"
Dy 0.000 0.000 3.187
Dy 0.000 0.000 9.495
Dy 0.000 0.000 22.210
Dy 0.000 0.000 28.519
Pu 0.000 0.000 15.853
Bi 0.000 0.000 0.000
Bi 0.000 0.000 6.340
Bi 0.000 0.000 12.656
Bi 0.000 0.000 19.049
Bi 0.000 0.000 25.366
```

---

Q: Which formula does entry 1 have?
A: DyBiPt4